# 1
The following is a DFT calculation (PBE-GGA) of an optimized crystal structure of LaPaN2O.

Output
* raw formation energy: -1.97 eV per atom

Cell: 3.7757 3.7757 11.7626 Å, 90.00 90.00 90.00°
Space group P4/nmm (No. 129, origin choice 2)
Symmetry-distinct sites (fractional):
La (0.2500, 0.2500, 0.1147) [2 per cell]
Pa (0.2500, 0.2500, 0.6084) [2 per cell]
N (0.2500, 0.2500, 0.4250) [2 per cell]
N (0.2500, 0.2500, 0.7701) [2 per cell]
O (0.2500, 0.7500, 0.0000) [2 per cell]



# 2
The following is a DFT calculation (PBE-GGA) of an optimized crystal structure of Ac5Tl3.

Output
* polymorph energy (0 for the lowest one): 0.00 eV per formula unit
* formation energy: -277 meV per atom

Cell: 9.8200 9.8200 7.5167 Å, 90.00 90.00 120.00°
Space group P6_3/mcm (No. 193)
Symmetry-distinct sites (fractional):
Ac (0.0000, 0.2402, 0.2500) [6 per cell]
Ac (0.3333, 0.6667, 0.0000) [4 per cell]
Tl (0.0000, 0.4034, 0.7500) [6 per cell]



# 3
The following is a DFT calculation (PBE-GGA) of an optimized crystal structure of FeTeBrN2.

Output
* polymorph energy (0 for the lowest one): 0.00 eV per formula unit
* raw formation energy: 1.06 eV per atom

Cell: 3.8054 3.8054 5.5430 Å, 90.00 90.00 90.00°
Space group P4/mmm (No. 123)
Symmetry-distinct sites (fractional):
Fe (0.0000, 0.0000, 0.0000) [1 per cell]
Te (0.0000, 0.0000, 0.5000) [1 per cell]
Br (0.5000, 0.5000, 0.5000) [1 per cell]
N (0.0000, 0.5000, 0.0000) [2 per cell]



# 4
The following is a DFT calculation (PBE-GGA) of an optimized crystal structure of SrHgTeI2.

Output
* polymorph energy (0 for the lowest one): 0.00 eV per formula unit
* raw formation energy: -0.54 eV per atom

Cell: 5.8609 5.8609 5.8354 Å, 90.00 90.00 90.00°
Space group P4/mmm (No. 123)
Symmetry-distinct sites (fractional):
Sr (0.0000, 0.0000, 0.0000) [1 per cell]
Hg (0.5000, 0.5000, 0.5000) [1 per cell]
Te (0.5000, 0.5000, 0.0000) [1 per cell]
I (0.0000, 0.5000, 0.5000) [2 per cell]